First-principles (PBE-GGA) data for ErAgHg2 after structural relaxation, as listed in the Alexandria database.

abc: 3.5961 3.5961 26.2610
angles: 90.00 90.00 120.00
Space group R3m (No. 160, hexagonal axes)
Symmetry-distinct sites (fractional):
Er (0.0000, 0.0000, 0.0000) x3
Ag (0.0000, 0.0000, 0.8325) x3
Hg (0.0000, 0.0000, 0.4203) x3
Hg (0.0000, 0.0000, 0.5790) x3

E	-2.1098	eV per atom
E_form	-0.105	eV per atom
N(E_F)	0.599	states/eV per atom